No. 1
EuDyHoHg PBE optimized geometry; crystal system = cubic; total magnetic moment = 29.9 μB/cell; ΔE_f = -0.031 eV per atom
1.0
7.697 0.000 0.000
0.000 7.697 0.000
0.000 0.000 7.697
Eu Dy Ho Hg
4 4 4 4
Direct
0.000 0.000 0.000 Eu
0.000 0.500 0.500 Eu
0.500 0.000 0.500 Eu
0.500 0.500 0.000 Eu
0.250 0.250 0.250 Dy
0.250 0.750 0.750 Dy
0.750 0.250 0.750 Dy
0.750 0.750 0.250 Dy
0.250 0.250 0.750 Ho
0.250 0.750 0.250 Ho
0.750 0.250 0.250 Ho
0.750 0.750 0.750 Ho
0.000 0.000 0.500 Hg
0.000 0.500 0.000 Hg
0.500 0.000 0.000 Hg
0.500 0.500 0.500 Hg

No. 2
EuDyInHg PBE optimized geometry; crystal system = cubic; total magnetic moment = 28.8 μB/cell; ΔE_f = -0.464 eV per atom
1.0
7.666 0.000 0.000
0.000 7.666 0.000
0.000 0.000 7.666
Eu Dy In Hg
4 4 4 4
Direct
0.000 0.000 0.000 Eu
0.000 0.500 0.500 Eu
0.500 0.000 0.500 Eu
0.500 0.500 0.000 Eu
0.000 0.000 0.500 Dy
0.000 0.500 0.000 Dy
0.500 0.000 0.000 Dy
0.500 0.500 0.500 Dy
0.250 0.250 0.750 In
0.250 0.750 0.250 In
0.750 0.250 0.250 In
0.750 0.750 0.750 In
0.250 0.250 0.250 Hg
0.250 0.750 0.750 Hg
0.750 0.250 0.750 Hg
0.750 0.750 0.250 Hg

No. 3
EuDyHgIr PBE optimized geometry; crystal system = cubic; total magnetic moment = 27.6 μB/cell; ΔE_f = -0.456 eV per atom
1.0
7.217 0.000 0.000
0.000 7.217 0.000
0.000 0.000 7.217
Eu Dy Hg Ir
4 4 4 4
Direct
0.000 0.000 0.000 Eu
0.000 0.500 0.500 Eu
0.500 0.000 0.500 Eu
0.500 0.500 0.000 Eu
0.000 0.000 0.500 Dy
0.000 0.500 0.000 Dy
0.500 0.000 0.000 Dy
0.500 0.500 0.500 Dy
0.250 0.250 0.250 Hg
0.250 0.750 0.750 Hg
0.750 0.250 0.750 Hg
0.750 0.750 0.250 Hg
0.250 0.250 0.750 Ir
0.250 0.750 0.250 Ir
0.750 0.250 0.250 Ir
0.750 0.750 0.750 Ir